1.
{"formula": "ReAsOs2", "functional": "PBE", "state": "relaxed", "formation_enthalpy_0k_kj_per_mol_atoms": 33.8, "spacegroup": "No. 71", "e_tot_ev_per_atom": -9.54, "volume_a3_per_cell": 58, "crystal_system": "orthorhombic", "dos_ef_per_ev_cell": 2.9, "cell": [[-1.9473, -3.7443, -3.0611], [-0.7594, -4.7475, 2.0165], [-1.1425, 5.0838, 0.1778]], "species": ["Re", "As", "Os", "Os"], "fractional_positions": [[0.7500, 0.2500, 0.5000], [0.2500, 0.7500, 0.5000], [0.0262, 0.0262, 0.0000], [0.4738, 0.4738, 0.0000]]}

---

2.
{"formula": "ReAs2Os", "functional": "PBE", "state": "relaxed", "formation_enthalpy_0k_kj_per_mol_atoms": 48.5, "spacegroup": "No. 44", "relative_energy_mev_per_atom": 396, "e_tot_ev_per_atom": -7.74, "volume_a3_per_cell": 62, "crystal_system": "orthorhombic", "dos_ef_per_ev_cell": 3.1, "cell": [[-5.1907, 0.6388, 1.4949], [-3.1175, -4.1689, 1.5772], [4.5331, 2.8997, 0.7928]], "species": ["Re", "As", "As", "Os"], "fractional_positions": [[0.2414, 0.7414, 0.5000], [0.0104, 0.0104, 0.0000], [0.7350, 0.2350, 0.5000], [0.5132, 0.5132, 0.0000]]}

---

3.
{"formula": "Re2AsOs", "functional": "PBE", "state": "relaxed", "formation_enthalpy_0k_kj_per_mol_atoms": 33.1, "spacegroup": "No. 8", "e_tot_ev_per_atom": -9.85, "volume_a3_per_cell": 60, "crystal_system": "monoclinic", "dos_ef_per_ev_cell": 2.7, "cell": [[-0.2883, 4.2693, 2.2824], [-1.6234, 4.5647, -0.2189], [-3.9989, -0.9444, 2.0229]], "species": ["Re", "Re", "As", "Os"], "fractional_positions": [[0.0034, 0.0034, 0.0108], [0.7324, 0.7324, 0.7502], [0.4946, 0.4946, 0.5101], [0.2697, 0.2697, 0.2289]]}

---

4.
{"formula": "ReAs2Os", "functional": "PBE", "state": "relaxed", "formation_enthalpy_0k_kj_per_mol_atoms": 71.4, "spacegroup": "No. 65", "relative_energy_mev_per_atom": 633, "e_tot_ev_per_atom": -7.50, "volume_a3_per_cell": 63, "crystal_system": "orthorhombic", "dos_ef_per_ev_cell": 3.0, "cell": [[2.9897, -0.0156, 0.0000], [-1.4674, 2.6049, 0.0000], [0.0000, 0.0000, 8.1767]], "species": ["Re", "As", "As", "Os"], "fractional_positions": [[0.5000, 0.5000, 0.7500], [0.0000, 0.0000, 0.0008], [0.0000, 0.0000, 0.4992], [0.5000, 0.5000, 0.2500]]}

---

5.
{"formula": "ReAsOs2", "functional": "PBE", "state": "relaxed", "formation_enthalpy_0k_kj_per_mol_atoms": 29.4, "spacegroup": "No. 38", "e_tot_ev_per_atom": -9.58, "volume_a3_per_cell": 59, "crystal_system": "orthorhombic", "dos_ef_per_ev_cell": 2.7, "cell": [[4.0118, 0.0000, 0.0000], [0.0000, 2.8177, -0.0356], [0.0000, 1.4757, 5.1931]], "species": ["Re", "As", "Os", "Os"], "fractional_positions": [[0.0000, 0.5550, 0.5147], [0.5000, 0.9494, 0.7273], [0.0000, 0.8128, 0.9986], [0.5000, 0.1828, 0.2593]]}

---

6.
{"formula": "ReAsOs2", "functional": "PBE", "state": "relaxed", "formation_enthalpy_0k_kj_per_mol_atoms": 35.7, "spacegroup": "No. 8", "e_tot_ev_per_atom": -9.52, "volume_a3_per_cell": 60, "crystal_system": "monoclinic", "dos_ef_per_ev_cell": 3.4, "cell": [[-4.7054, -1.0832, -0.4623], [-3.2988, -2.6228, -2.4014], [0.2076, -3.4967, 2.9268]], "species": ["Re", "As", "Os", "Os"], "fractional_positions": [[0.4781, 0.4781, 0.5093], [0.2468, 0.2468, 0.2510], [0.0226, 0.0226, 0.9828], [0.7526, 0.7526, 0.7569]]}